A relaxed Li2LaAlV crystal, computed with PBE-GGA.

Properties
The theoretical density comes out at 3.3 Mg/m³. The density of states at the Fermi level is 3.69 states/eV/f.u. Its formation energy from the elements is 0.36 eV per atom. As for the crystal system: tetragonal. Its total energy is -3.96 eV/atom.

Cell lengths 4.765, 4.765, 5.053 Å; angles 90.00, 90.00, 90.00 degrees
Space group P4/mmm (No. 123)
Inequivalent atoms, fractional coordinates:
Li (0.000, 0.500, 0.000) x2
La (0.000, 0.000, 0.500) x1
Al (0.500, 0.500, 0.000) x1
V (0.500, 0.500, 0.500) x1


A relaxed Pa2FeBi crystal, computed with PBE-GGA.

Properties
The theoretical density comes out at 12.0 Mg/m³. The density of states at the Fermi level is 5.57 states/eV/f.u. Its formation energy from the elements is -0.11 eV per atom. As for the crystal system: trigonal. Its total energy is -7.94 eV/atom. The distance to the lowest polymorph of the same formula is 0.201 eV per formula unit.

Cell lengths 3.8484, 3.8484, 23.4856 Å; angles 90.00, 90.00, 120.00 degrees
Space group R3m (No. 160, hexagonal axes)
Inequivalent atoms, fractional coordinates:
Pa (0.0000, 0.0000, 0.0000) x3
Pa (0.0000, 0.0000, 0.2126) x3
Fe (0.0000, 0.0000, 0.6094) x3
Bi (0.0000, 0.0000, 0.4395) x3


A relaxed NdTlGaAu crystal, computed with PBE-GGA.

Properties
The theoretical density comes out at 10.8 Mg/m³. The density of states at the Fermi level is 1.83 states/eV/f.u. Its formation energy from the elements is -0.42 eV per atom. As for the crystal system: cubic. Its total energy is -3.78 eV/atom.

Cell lengths 7.235, 7.235, 7.235 Å; angles 90.00, 90.00, 90.00 degrees
Space group F-43m (No. 216)
Inequivalent atoms, fractional coordinates:
Nd (0.000, 0.000, 0.000) x4
Tl (0.000, 0.000, 0.500) x4
Ga (0.250, 0.250, 0.750) x4
Au (0.250, 0.250, 0.250) x4


A relaxed Ac2ThSe4 crystal, computed with PBE-GGA.

Properties
The theoretical density comes out at 7.4 Mg/m³. The density of states at the Fermi level is 3.58 states/eV/f.u. As for the crystal system: orthorhombic. For the formation energy from raw total energies, the calculation gives -169.3 kJ per mole of atoms. Its total energy is -5.98 eV/atom.

Cell lengths 4.226, 14.869, 14.222 Å; angles 90.00, 90.00, 90.00 degrees
Space group Cmcm (No. 63)
Inequivalent atoms, fractional coordinates:
Ac (0.000, 0.132, 0.077) x8
Th (0.000, 0.365, 0.250) x4
Se (0.000, 0.006, 0.250) x4
Se (0.000, 0.219, 0.626) x8
Se (0.000, 0.500, 0.000) x4